Record 1
TbNdTh3: optimized geometry, GGA-PBE.

a b c (Å): 9.9863 11.8951 6.0086
angles (deg): 90.00 90.00 90.00
Space group Imma (No. 74)
One atom of each set of equivalent atoms:
Tb (0.0000, 0.2500, 0.1968) x4
Nd (0.2500, 0.2500, 0.7500) x4
Th (0.0000, 0.0000, 0.5000) x4
Th (0.1691, 0.0000, 0.0000) x8

calculated formation energy	0.3681	eV per atom
mass density	9.3	g/cm³
total DFT energy (no corrections)	-119.27	eV/cell

Record 2
LiPmGe3: optimized geometry, GGA-PBE.

a b c (Å): 4.1348 25.8143 3.9817
angles (deg): 90.00 90.00 90.00
Space group Cmcm (No. 63)
One atom of each set of equivalent atoms:
Li (0.0000, 0.2036, 0.2500) x4
Pm (0.0000, 0.0796, 0.7500) x4
Ge (0.0000, 0.3084, 0.2500) x4
Ge (0.0000, 0.3674, 0.7500) x4
Ge (0.0000, 0.4693, 0.7500) x4

calculated formation energy	-0.4474	eV per atom
mass density	5.8	g/cm³
total DFT energy (no corrections)	-91.01	eV/cell

Record 3
MnCuPb: optimized geometry, GGA-PBE.

a b c (Å): 4.3902 4.3902 3.3270
angles (deg): 90.00 90.00 120.00
Space group P3m1 (No. 156)
One atom of each set of equivalent atoms:
Mn (0.0000, 0.0000, 0.0000) x1
Cu (0.6667, 0.3333, 0.7699) x1
Pb (0.3333, 0.6667, 0.4391) x1

calculated formation energy	0.4243	eV per atom
mass density	9.7	g/cm³
total DFT energy (no corrections)	-15.70	eV/cell

Record 4
DyBeZn2: optimized geometry, GGA-PBE.

a b c (Å): 4.0398 4.0398 14.8977
angles (deg): 90.00 90.00 120.00
Space group R-3m (No. 166, hexagonal axes)
One atom of each set of equivalent atoms:
Dy (0.0000, 0.0000, 0.0000) x3
Be (0.0000, 0.0000, 0.5000) x3
Zn (0.0000, 0.0000, 0.2061) x6

calculated formation energy	-0.1495	eV per atom
mass density	7.2	g/cm³
total DFT energy (no corrections)	-34.42	eV/cell

Record 5
TbVB4: optimized geometry, GGA-PBE.

a b c (Å): 6.0145 11.6453 3.4634
angles (deg): 90.00 90.00 90.00
Space group Pbam (No. 55)
One atom of each set of equivalent atoms:
Tb (0.1237, 0.1516, 0.0000) x4
V (0.1267, 0.4174, 0.0000) x4
B (0.0231, 0.6919, 0.5000) x4
B (0.1143, 0.5473, 0.5000) x4
B (0.1361, 0.9673, 0.5000) x4
B (0.2148, 0.8145, 0.5000) x4

calculated formation energy	-0.7004	eV per atom
mass density	6.9	g/cm³
total DFT energy (no corrections)	-178.64	eV/cell

Record 6
NaNiB2: optimized geometry, GGA-PBE.

a b c (Å): 5.3680 5.3680 5.3680
angles (deg): 90.00 90.00 90.00
Space group Fm-3m (No. 225)
One atom of each set of equivalent atoms:
Na (0.0000, 0.0000, 0.0000) x4
Ni (0.0000, 0.0000, 0.5000) x4
B (0.2500, 0.2500, 0.2500) x8

calculated formation energy	1.0365	eV per atom
mass density	4.4	g/cm³
total DFT energy (no corrections)	-65.24	eV/cell
excess energy over the best structure of this formula in the dataset	58.30	kJ/mol of atoms

Record 7
Sn2GeSe: optimized geometry, GGA-PBE.

a b c (Å): 7.2358 7.2358 7.2358
angles (deg): 90.00 90.00 90.00
Space group Fm-3m (No. 225)
One atom of each set of equivalent atoms:
Sn (0.2500, 0.2500, 0.2500) x8
Ge (0.0000, 0.0000, 0.0000) x4
Se (0.0000, 0.0000, 0.5000) x4

mass density	6.8	g/cm³
formation energy without anion corrections	0.112	eV/atom
total DFT energy (no corrections)	-62.64	eV/cell
excess energy over the best structure of this formula in the dataset	13.24	kJ/mol of atoms

Record 8
Na2Nb3O6: optimized geometry, GGA-PBE.

a b c (Å): 7.6818 7.6818 16.3939
angles (deg): 90.00 90.00 120.00
Space group R-3c (No. 167, hexagonal axes)
One atom of each set of equivalent atoms:
Na (0.0000, 0.0000, 0.0796) x12
Nb (0.0000, 0.2106, 0.2500) x18
O (0.0289, 0.2476, 0.6677) x36

mass density	5.0	g/cm³
formation energy without anion corrections	-1.890	eV/atom
total DFT energy (no corrections)	-500.34	eV/cell
excess energy over the best structure of this formula in the dataset	37.88	kJ/mol of atoms

Record 9
Pm6HoCd: optimized geometry, GGA-PBE.

a b c (Å): 6.7149 11.6148 6.6080
angles (deg): 90.00 90.08 90.00
Space group C2/m (No. 12)
One atom of each set of equivalent atoms:
Pm (0.0770, 0.0000, 0.2459) x4
Pm (0.2126, 0.2883, 0.2460) x8
Ho (0.0000, 0.5000, 0.5000) x2
Cd (0.0000, 0.5000, 0.0000) x2

calculated formation energy	0.0676	eV per atom
mass density	7.4	g/cm³
total DFT energy (no corrections)	-66.91	eV/cell
excess energy over the best structure of this formula in the dataset	10.47	kJ/mol of atoms

Record 10
TbPr2Dy4Y2: optimized geometry, GGA-PBE.

a b c (Å): 18.7948 3.6218 9.6207
angles (deg): 90.00 115.73 90.00
Space group C2/m (No. 12)
One atom of each set of equivalent atoms:
Tb (0.0000, 0.0000, 0.0000) x2
Pr (0.1655, 0.5000, 0.0004) x4
Dy (0.0192, 0.5000, 0.3343) x4
Dy (0.1854, 0.0000, 0.3364) x4
Y (0.1465, 0.0000, 0.6620) x4

calculated formation energy	-0.0024	eV per atom
mass density	7.1	g/cm³
total DFT energy (no corrections)	-91.10	eV/cell

Record 11
Pm6YSn: optimized geometry, GGA-PBE.

a b c (Å): 4.9789 4.9789 10.3013
angles (deg): 90.00 90.00 90.00
Space group P4/mmm (No. 123)
One atom of each set of equivalent atoms:
Pm (0.0000, 0.0000, 0.0000) x1
Pm (0.0000, 0.0000, 0.5000) x1
Pm (0.0000, 0.5000, 0.2405) x4
Y (0.5000, 0.5000, 0.5000) x1
Sn (0.5000, 0.5000, 0.0000) x1

calculated formation energy	-0.1967	eV per atom
mass density	7.0	g/cm³
total DFT energy (no corrections)	-40.54	eV/cell

Record 12
BeCo2Si: optimized geometry, GGA-PBE.

a b c (Å): 2.5829 2.5829 21.4363
angles (deg): 90.00 90.00 120.00
Space group R-3m (No. 166, hexagonal axes)
One atom of each set of equivalent atoms:
Be (0.0000, 0.0000, 0.0000) x3
Co (0.0000, 0.0000, 0.2516) x6
Si (0.0000, 0.0000, 0.5000) x3

mass density	6.2	g/cm³
formation energy without anion corrections	-0.178	eV/atom
total DFT energy (no corrections)	-72.22	eV/cell
excess energy over the best structure of this formula in the dataset	40.48	kJ/mol of atoms

Record 13
CaBO3: optimized geometry, GGA-PBE.

a b c (Å): 3.6979 5.4398 6.5971
angles (deg): 90.00 97.76 90.00
Space group P2_1/m (No. 11)
One atom of each set of equivalent atoms:
Ca (0.2107, 0.2500, 0.3181) x2
B (0.2560, 0.2500, 0.7743) x2
O (0.1372, 0.2500, 0.9611) x2
O (0.2956, 0.0299, 0.6782) x4

mass density	2.5	g/cm³
formation energy without anion corrections	-2.400	eV/atom
total DFT energy (no corrections)	-71.11	eV/cell

Record 14
Tm3Pt8Au2: optimized geometry, GGA-PBE.

a b c (Å): 5.2975 5.2975 30.9273
angles (deg): 90.00 90.00 120.00
Space group R-3m (No. 166, hexagonal axes)
One atom of each set of equivalent atoms:
Tm (0.0000, 0.0000, 0.0000) x3
Tm (0.0000, 0.0000, 0.1868) x6
Pt (0.0000, 0.0000, 0.2771) x6
Pt (0.0021, 0.5010, 0.7699) x18
Au (0.0000, 0.0000, 0.3611) x6

calculated formation energy	-0.6296	eV per atom
mass density	16.3	g/cm³
total DFT energy (no corrections)	-229.44	eV/cell

Record 15
AcBSe3: optimized geometry, GGA-PBE.

a b c (Å): 4.4471 8.0699 8.2327
angles (deg): 86.90 74.94 78.85
Space group P-1 (No. 2)
One atom of each set of equivalent atoms:
Ac (0.1610, 0.3787, 0.2652) x2
B (0.0889, 0.9329, 0.0635) x2
Se (0.1819, 0.6855, 0.0034) x2
Se (0.2109, 0.9867, 0.2591) x2
Se (0.4557, 0.6451, 0.4277) x2

mass density	5.6	g/cm³
formation energy without anion corrections	-0.947	eV/atom
total DFT energy (no corrections)	-51.95	eV/cell
excess energy over the best structure of this formula in the dataset	9.89	kJ/mol of atoms

Record 16
Y2ZrTl: optimized geometry, GGA-PBE.

a b c (Å): 3.6208 5.3614 11.4136
angles (deg): 90.00 90.00 90.00
Space group Imm2 (No. 44)
One atom of each set of equivalent atoms:
Y (0.0000, 0.0000, 0.0000) x2
Y (0.0000, 0.5000, 0.2170) x2
Zr (0.0000, 0.5000, 0.7674) x2
Tl (0.0000, 0.0000, 0.4827) x2

calculated formation energy	-0.0738	eV per atom
mass density	7.1	g/cm³
total DFT energy (no corrections)	-48.28	eV/cell
excess energy over the best structure of this formula in the dataset	5.85	kJ/mol of atoms

Record 17
Ce3Te2Br2: optimized geometry, GGA-PBE.

a b c (Å): 14.4068 4.3553 7.6557
angles (deg): 90.00 103.96 90.00
Space group C2/m (No. 12)
One atom of each set of equivalent atoms:
Ce (0.0000, 0.0000, 0.0000) x2
Ce (0.2453, 0.5000, 0.2207) x4
Te (0.1079, 0.5000, 0.8269) x4
Br (0.1362, 0.0000, 0.3747) x4

mass density	6.0	g/cm³
formation energy without anion corrections	-1.411	eV/atom
total DFT energy (no corrections)	-74.61	eV/cell

Record 18
Cs8CdAu2: optimized geometry, GGA-PBE.

a b c (Å): 11.7428 17.0949 7.4431
angles (deg): 90.00 102.47 90.00
Space group C2/m (No. 12)
One atom of each set of equivalent atoms:
Cs (0.0000, 0.2455, 0.0000) x4
Cs (0.1277, 0.5000, 0.7898) x4
Cs (0.1932, 0.1363, 0.5873) x8
Cd (0.0000, 0.0000, 0.0000) x2
Au (0.0000, 0.3178, 0.5000) x4

calculated formation energy	-0.1069	eV per atom
mass density	3.6	g/cm³
total DFT energy (no corrections)	-30.95	eV/cell
excess energy over the best structure of this formula in the dataset	0.00	kJ/mol of atoms

Record 19
SmTm2Zn: optimized geometry, GGA-PBE.

a b c (Å): 3.5383 3.5383 30.7427
angles (deg): 90.00 90.00 120.00
Space group R-3m (No. 166, hexagonal axes)
One atom of each set of equivalent atoms:
Sm (0.0000, 0.0000, 0.0000) x3
Tm (0.0000, 0.0000, 0.2384) x6
Zn (0.0000, 0.0000, 0.5000) x3

calculated formation energy	-0.0753	eV per atom
mass density	8.3	g/cm³
total DFT energy (no corrections)	-45.71	eV/cell
excess energy over the best structure of this formula in the dataset	8.94	kJ/mol of atoms

Record 20
Sr2AcPaS6: optimized geometry, GGA-PBE.

a b c (Å): 7.3722 7.3722 19.1227
angles (deg): 90.00 90.00 120.00
Space group R3 (No. 146, hexagonal axes)
One atom of each set of equivalent atoms:
Sr (0.0000, 0.0000, 0.0000) x3
Sr (0.0000, 0.0000, 0.4933) x3
Ac (0.0000, 0.0000, 0.2105) x3
Pa (0.0000, 0.0000, 0.7027) x3
S (0.0007, 0.3865, 0.4411) x9
S (0.0638, 0.6845, 0.2807) x9

mass density	4.6	g/cm³
formation energy without anion corrections	-1.937	eV/atom
total DFT energy (no corrections)	-183.29	eV/cell

Record 21
SiRu2: optimized geometry, GGA-PBE.

a b c (Å): 4.1772 4.1772 5.3486
angles (deg): 90.00 90.00 120.00
Space group P6_3/mmc (No. 194)
One atom of each set of equivalent atoms:
Si (0.3333, 0.6667, 0.2500) x2
Ru (0.0000, 0.0000, 0.0000) x2
Ru (0.3333, 0.6667, 0.7500) x2

mass density	9.5	g/cm³
formation energy without anion corrections	-0.170	eV/atom
total DFT energy (no corrections)	-48.97	eV/cell

Record 22
TbLuHgPt: optimized geometry, GGA-PBE.

a b c (Å): 7.1480 7.1480 7.1480
angles (deg): 90.00 90.00 90.00
Space group F-43m (No. 216)
One atom of each set of equivalent atoms:
Tb (0.0000, 0.0000, 0.0000) x4
Lu (0.0000, 0.0000, 0.5000) x4
Hg (0.2500, 0.2500, 0.2500) x4
Pt (0.2500, 0.2500, 0.7500) x4

calculated formation energy	-0.8316	eV per atom
mass density	13.3	g/cm³
total DFT energy (no corrections)	-75.28	eV/cell

Record 23
Co2RuBr: optimized geometry, GGA-PBE.

a b c (Å): 2.9275 4.3681 8.7628
angles (deg): 90.00 90.00 90.00
Space group Imm2 (No. 44)
One atom of each set of equivalent atoms:
Co (0.0000, 0.0000, 0.0000) x2
Co (0.0000, 0.5000, 0.2485) x2
Ru (0.0000, 0.5000, 0.7660) x2
Br (0.0000, 0.0000, 0.5066) x2

mass density	8.9	g/cm³
formation energy without anion corrections	0.827	eV/atom
total DFT energy (no corrections)	-43.71	eV/cell
excess energy over the best structure of this formula in the dataset	29.04	kJ/mol of atoms